*A*
DFT (PBE) results for a relaxed structure of AsPRhCl2.

Results
As for the volume: 23.2 A^3/atom.

Unit cell a=4.752 b=4.752 c=5.127 alpha=90.00 beta=90.00 gamma=90.00
Space group P4/mmm (No. 123)
Inequivalent atoms, fractional coordinates:
As: 0.000 0.000 0.000 (multiplicity 1)
P: 0.000 0.000 0.500 (multiplicity 1)
Rh: 0.500 0.500 0.500 (multiplicity 1)
Cl: 0.000 0.500 0.000 (multiplicity 2)

---

*B*
DFT (PBE) results for a relaxed structure of AsPRhCl2.

Results
As for the volume: 20.8 A^3/atom.

Unit cell a=4.706 b=4.706 c=4.697 alpha=90.00 beta=90.00 gamma=90.00
Space group P4/mmm (No. 123)
Inequivalent atoms, fractional coordinates:
As: 0.000 0.000 0.000 (multiplicity 1)
P: 0.500 0.500 0.000 (multiplicity 1)
Rh: 0.500 0.500 0.500 (multiplicity 1)
Cl: 0.000 0.500 0.500 (multiplicity 2)

---

Relative to the most stable one, in eV/atom, the structures come out at *A* 0.436; *B* 0.000.

---

*A*
DFT (PBE) results for a relaxed structure of AsP2RuCl.

Results
As for the volume: 20.0 A^3/atom.

Unit cell a=4.558 b=4.558 c=4.815 alpha=90.00 beta=90.00 gamma=90.00
Space group P4/mmm (No. 123)
Inequivalent atoms, fractional coordinates:
As: 0.000 0.000 0.000 (multiplicity 1)
P: 0.000 0.500 0.500 (multiplicity 2)
Ru: 0.500 0.500 0.500 (multiplicity 1)
Cl: 0.500 0.500 0.000 (multiplicity 1)

---

*B*
DFT (PBE) results for a relaxed structure of AsP2RuCl.

Results
As for the volume: 21.2 A^3/atom.

Unit cell a=4.727 b=4.727 c=4.744 alpha=90.00 beta=90.00 gamma=90.00
Space group P4/mmm (No. 123)
Inequivalent atoms, fractional coordinates:
As: 0.000 0.000 0.000 (multiplicity 1)
P: 0.000 0.500 0.000 (multiplicity 2)
Ru: 0.500 0.500 0.500 (multiplicity 1)
Cl: 0.000 0.000 0.500 (multiplicity 1)

---

Relative to the most stable one, in eV/atom, the structures come out at *A* 0.000; *B* 0.704.

---

*A*
DFT (PBE) results for a relaxed structure of AsPS2Cl.

Results
As for the volume: 22.3 A^3/atom.

Unit cell a=4.855 b=4.855 c=4.741 alpha=90.00 beta=90.00 gamma=90.00
Space group P4/mmm (No. 123)
Inequivalent atoms, fractional coordinates:
As: 0.000 0.000 0.000 (multiplicity 1)
P: 0.500 0.500 0.500 (multiplicity 1)
S: 0.000 0.500 0.000 (multiplicity 2)
Cl: 0.000 0.000 0.500 (multiplicity 1)

---

*B*
DFT (PBE) results for a relaxed structure of AsPS2Cl.

Results
As for the volume: 19.3 A^3/atom.

Unit cell a=4.630 b=4.630 c=4.509 alpha=90.00 beta=90.00 gamma=90.00
Space group P4/mmm (No. 123)
Inequivalent atoms, fractional coordinates:
As: 0.000 0.000 0.000 (multiplicity 1)
P: 0.500 0.500 0.500 (multiplicity 1)
S: 0.000 0.500 0.500 (multiplicity 2)
Cl: 0.500 0.500 0.000 (multiplicity 1)

---

*C*
DFT (PBE) results for a relaxed structure of AsPS2Cl.

Results
As for the volume: 22.1 A^3/atom.

Unit cell a=4.622 b=4.622 c=5.172 alpha=90.00 beta=90.00 gamma=90.00
Space group P4/mmm (No. 123)
Inequivalent atoms, fractional coordinates:
As: 0.000 0.000 0.000 (multiplicity 1)
P: 0.000 0.000 0.500 (multiplicity 1)
S: 0.000 0.500 0.000 (multiplicity 2)
Cl: 0.500 0.500 0.500 (multiplicity 1)

---

*D*
DFT (PBE) results for a relaxed structure of AsPS2Cl.

Results
As for the volume: 20.1 A^3/atom.

Unit cell a=4.644 b=4.644 c=4.657 alpha=90.00 beta=90.00 gamma=90.00
Space group P4/mmm (No. 123)
Inequivalent atoms, fractional coordinates:
As: 0.000 0.000 0.000 (multiplicity 1)
P: 0.500 0.500 0.000 (multiplicity 1)
S: 0.000 0.500 0.500 (multiplicity 2)
Cl: 0.500 0.500 0.500 (multiplicity 1)

---

Relative to the most stable one, in eV/atom, the structures come out at *A* 0.258; *B* 0.000; *C* 0.324; *D* 0.819.

---

*A*
DFT (PBE) results for a relaxed structure of SbAsPCl2.

Results
As for the volume: 24.4 A^3/atom.

Unit cell a=4.812 b=4.812 c=5.260 alpha=90.00 beta=90.00 gamma=90.00
Space group P4/mmm (No. 123)
Inequivalent atoms, fractional coordinates:
Sb: 0.000 0.000 0.000 (multiplicity 1)
As: 0.500 0.500 0.500 (multiplicity 1)
P: 0.500 0.500 0.000 (multiplicity 1)
Cl: 0.000 0.500 0.500 (multiplicity 2)

---

*B*
DFT (PBE) results for a relaxed structure of SbAsPCl2.

Results
As for the volume: 24.4 A^3/atom.

Unit cell a=4.568 b=4.568 c=5.845 alpha=90.00 beta=90.00 gamma=90.00
Space group P4/mmm (No. 123)
Inequivalent atoms, fractional coordinates:
Sb: 0.000 0.000 0.000 (multiplicity 1)
As: 0.500 0.500 0.000 (multiplicity 1)
P: 0.000 0.000 0.500 (multiplicity 1)
Cl: 0.000 0.500 0.500 (multiplicity 2)

---

Relative to the most stable one, in eV/atom, the structures come out at *A* 0.080; *B* 0.000.

---

*A*
DFT (PBE) results for a relaxed structure of As2PSeCl.

Results
As for the volume: 22.8 A^3/atom.

Unit cell a=4.868 b=4.868 c=4.819 alpha=90.00 beta=90.00 gamma=90.00
Space group P4/mmm (No. 123)
Inequivalent atoms, fractional coordinates:
As: 0.000 0.500 0.000 (multiplicity 2)
P: 0.000 0.000 0.000 (multiplicity 1)
Se: 0.000 0.000 0.500 (multiplicity 1)
Cl: 0.500 0.500 0.500 (multiplicity 1)

---

*B*
DFT (PBE) results for a relaxed structure of As2PSeCl.

Results
As for the volume: 23.7 A^3/atom.

Unit cell a=4.844 b=4.844 c=5.057 alpha=90.00 beta=90.00 gamma=90.00
Space group P4/mmm (No. 123)
Inequivalent atoms, fractional coordinates:
As: 0.000 0.500 0.000 (multiplicity 2)
P: 0.000 0.000 0.500 (multiplicity 1)
Se: 0.500 0.500 0.500 (multiplicity 1)
Cl: 0.500 0.500 0.000 (multiplicity 1)

---

Relative to the most stable one, in eV/atom, the structures come out at *A* 0.000; *B* 0.738.

---

*A*
DFT (PBE) results for a relaxed structure of TcAsP2Cl.

Results
As for the volume: 20.6 A^3/atom.

Unit cell a=4.579 b=4.579 c=4.921 alpha=90.00 beta=90.00 gamma=90.00
Space group P4/mmm (No. 123)
Inequivalent atoms, fractional coordinates:
Tc: 0.000 0.000 0.000 (multiplicity 1)
As: 0.500 0.500 0.500 (multiplicity 1)
P: 0.000 0.500 0.000 (multiplicity 2)
Cl: 0.000 0.000 0.500 (multiplicity 1)

---

*B*
DFT (PBE) results for a relaxed structure of TcAsP2Cl.

Results
As for the volume: 21.6 A^3/atom.

Unit cell a=4.772 b=4.772 c=4.753 alpha=90.00 beta=90.00 gamma=90.00
Space group P4/mmm (No. 123)
Inequivalent atoms, fractional coordinates:
Tc: 0.000 0.000 0.000 (multiplicity 1)
As: 0.500 0.500 0.500 (multiplicity 1)
P: 0.000 0.500 0.500 (multiplicity 2)
Cl: 0.500 0.500 0.000 (multiplicity 1)

---

Relative to the most stable one, in eV/atom, the structures come out at *A* 0.000; *B* 0.628.

---

*A*
DFT (PBE) results for a relaxed structure of TiAsPCl2.

Results
As for the volume: 23.2 A^3/atom.

Unit cell a=4.828 b=4.828 c=4.987 alpha=90.00 beta=90.00 gamma=90.00
Space group P4/mmm (No. 123)
Inequivalent atoms, fractional coordinates:
Ti: 0.000 0.000 0.000 (multiplicity 1)
As: 0.500 0.500 0.500 (multiplicity 1)
P: 0.500 0.500 0.000 (multiplicity 1)
Cl: 0.000 0.500 0.500 (multiplicity 2)

---

*B*
DFT (PBE) results for a relaxed structure of TiAsPCl2.

Results
As for the volume: 22.4 A^3/atom.

Unit cell a=4.597 b=4.597 c=5.295 alpha=90.00 beta=90.00 gamma=90.00
Space group P4/mmm (No. 123)
Inequivalent atoms, fractional coordinates:
Ti: 0.000 0.000 0.000 (multiplicity 1)
As: 0.500 0.500 0.500 (multiplicity 1)
P: 0.000 0.000 0.500 (multiplicity 1)
Cl: 0.000 0.500 0.000 (multiplicity 2)

---

Relative to the most stable one, in eV/atom, the structures come out at *A* 0.709; *B* 0.000.

---

*A*
DFT (PBE) results for a relaxed structure of TiAsP2Cl.

Results
As for the volume: 21.3 A^3/atom.

Unit cell a=4.718 b=4.718 c=4.787 alpha=90.00 beta=90.00 gamma=90.00
Space group P4/mmm (No. 123)
Inequivalent atoms, fractional coordinates:
Ti: 0.000 0.000 0.000 (multiplicity 1)
As: 0.500 0.500 0.500 (multiplicity 1)
P: 0.000 0.500 0.500 (multiplicity 2)
Cl: 0.500 0.500 0.000 (multiplicity 1)

---

*B*
DFT (PBE) results for a relaxed structure of TiAsP2Cl.

Results
As for the volume: 21.2 A^3/atom.

Unit cell a=4.856 b=4.856 c=4.491 alpha=90.00 beta=90.00 gamma=90.00
Space group P4/mmm (No. 123)
Inequivalent atoms, fractional coordinates:
Ti: 0.000 0.000 0.000 (multiplicity 1)
As: 0.500 0.500 0.500 (multiplicity 1)
P: 0.000 0.500 0.000 (multiplicity 2)
Cl: 0.000 0.000 0.500 (multiplicity 1)

---

Relative to the most stable one, in eV/atom, the structures come out at *A* 0.469; *B* 0.000.